Sc3BrN | Alexandria | GGA-PBEsol | relaxed; crystal system = cubic; ΔE_f (raw) = -3.72 eV per formula unit; space-group type = No. 221
1.0
4.439 0.000 0.000
0.000 4.439 0.000
0.000 0.000 4.439
Sc Br N
3 1 1
Cartesian
0.000 0.000 2.220
0.000 2.220 0.000
2.220 0.000 0.000
2.220 2.220 2.220
0.000 0.000 0.000